Entry 1:
First-principles (PBE) data for a geometry-optimized Ti6SbC4 structure, as listed in Alexandria.

Space-group type ... Cmcm
Raw formation energy ... -745 meV per atom

a b c (Å): 3.183 5.468 16.652
angles (deg): 90.00 90.00 106.92
Sites, in units of the cell vectors:
1 Sb 0.335 0.671 0.750
2 Sb 0.665 0.329 0.250
3 Ti 0.500 0.000 0.500
4 Ti 0.774 0.549 0.075
5 Ti 0.032 0.064 0.143
6 Ti 0.226 0.451 0.925
7 Ti 0.968 0.936 0.643
8 Ti 0.500 0.000 0.000
9 Ti 0.226 0.451 0.575
10 Ti 0.032 0.064 0.357
11 Ti 0.774 0.549 0.425
12 Ti 0.374 0.749 0.250
13 Ti 0.968 0.936 0.857
14 Ti 0.626 0.251 0.750
15 C 0.407 0.815 0.120
16 C 0.593 0.185 0.880
17 C 0.861 0.722 0.961
18 C 0.593 0.185 0.620
19 C 0.861 0.722 0.539
20 C 0.139 0.278 0.461
21 C 0.139 0.278 0.039
22 C 0.407 0.815 0.380

---

Entry 2:
First-principles (PBE) data for a geometry-optimized SrGe2Os structure, as listed in Alexandria.

Formation energy from the elements ... -5.49 kcal/mol of atoms
Space-group type ... R-3m

a b c (Å): 4.243 4.243 6.045
angles (deg): 69.46 69.46 60.00
Sites, in units of the cell vectors:
1 Sr 0.500 0.500 0.500
2 Ge 0.288 0.288 0.135
3 Ge 0.712 0.712 0.865
4 Os 0.000 0.000 0.000

---

Entry 3:
First-principles (PBE) data for a geometry-optimized Tb4HoIr5 structure, as listed in Alexandria.

Formation energy from the elements ... -17.96 kcal/mol of atoms
Space-group type ... P4/mmm

a b c (Å): 3.490 3.490 16.673
angles (deg): 90.00 90.00 90.00
Sites, in units of the cell vectors:
1 Ir 0.500 0.500 0.500
2 Ir 0.500 0.500 0.098
3 Ir 0.500 0.500 0.299
4 Ir 0.500 0.500 0.701
5 Ir 0.500 0.500 0.902
6 Tb 0.000 0.000 0.400
7 Tb 0.000 0.000 0.801
8 Tb 0.000 0.000 0.600
9 Tb 0.000 0.000 0.199
10 Ho 0.000 0.000 0.000

---

Entry 4:
First-principles (PBE) data for a geometry-optimized V4Re3W4 structure, as listed in Alexandria.

Formation energy from the elements ... -4.33 kcal/mol of atoms
Space-group type ... P-1

a b c (Å): 2.705 4.356 14.156
angles (deg): 81.07 82.67 89.98
Sites, in units of the cell vectors:
1 W 0.545 0.910 0.181
2 W 0.635 0.727 0.547
3 W 0.365 0.273 0.453
4 W 0.455 0.090 0.819
5 Re 0.000 0.000 0.000
6 Re 0.176 0.635 0.729
7 Re 0.824 0.365 0.271
8 V 0.730 0.544 0.911
9 V 0.906 0.181 0.638
10 V 0.094 0.819 0.362
11 V 0.270 0.456 0.089

---

Entry 5:
First-principles (PBE) data for a geometry-optimized Ce6TiIn2 structure, as listed in Alexandria.

Formation energy from the elements ... -4.04 kcal/mol of atoms
Space-group type ... P6/mmm

a b c (Å): 3.039 9.052 9.052
angles (deg): 120.00 90.00 90.00
Site moments in Bohr magnetons follow the coordinates.
Sites, in units of the cell vectors:
1 Ce 0.500 0.000 0.314  0.22
2 Ce 0.500 0.000 0.686  0.22
3 Ce 0.500 0.314 0.000  0.22
4 Ce 0.500 0.314 0.314  0.22
5 Ce 0.500 0.686 0.686  0.22
6 Ce 0.500 0.686 0.000  0.22
7 Ti 0.000 0.000 0.000  -0.06
8 In 0.000 0.333 0.667  -0.01
9 In 0.000 0.667 0.333  -0.01

---

Number 1: uncorrected energy -8.780 eV/atom, total magnetization 0.000 Bohr magnetons per cell. Number 2: uncorrected energy -5.775 eV/atom, total magnetization 0.000 Bohr magnetons per cell. Number 3: uncorrected energy -7.519 eV/atom, total magnetization 0.004 Bohr magnetons per cell. Number 4: uncorrected energy -11.609 eV/atom, total magnetization 0.000 Bohr magnetons per cell. Number 5: uncorrected energy -5.617 eV/atom, total magnetization 1.459 Bohr magnetons per cell.